[1]
Here is an optimized crystal structure of TeOs2I from the Alexandria database. Energies are from PBE.

a = 4.745 Å, b = 4.745 Å, c = 4.745 Å
α = 60.00°, β = 60.00°, γ = 60.00°
Fractional positions:
1 Te 0.000 0.000 0.000
2 Os 0.250 0.250 0.250
3 Os 0.750 0.750 0.750
4 I 0.500 0.500 0.500

Values from the calculation:
* energy above the most stable polymorph in this dataset: 174 meV per atom
* formation energy without anion corrections: 539 kJ/mol of formula units


[2]
Here is an optimized crystal structure of Na2NiH6Rh from the Alexandria database. Energies are from PBE.

a = 4.904 Å, b = 4.904 Å, c = 4.886 Å
α = 119.56°, β = 119.56°, γ = 90.71°
Fractional positions:
1 Na 0.250 0.750 0.000
2 Na 0.750 0.250 0.000
3 Ni 0.000 0.000 0.500
4 H 0.245 0.245 0.500
5 H 0.246 0.246 0.992
6 H 0.246 0.754 0.500
7 H 0.754 0.246 0.500
8 H 0.754 0.754 0.008
9 H 0.755 0.755 0.500
10 Rh 0.500 0.500 0.500

Values from the calculation:
* electronic total energy: -3.8176 eV/atom


[3]
Here is an optimized crystal structure of ZrScTl2 from the Alexandria database. Energies are from PBE.

a = 10.453 Å, b = 10.453 Å, c = 10.453 Å
α = 18.62°, β = 18.62°, γ = 18.62°
Fractional positions:
1 Zr 0.000 0.000 0.000
2 Sc 0.256 0.256 0.256
3 Tl 0.504 0.504 0.504
4 Tl 0.751 0.751 0.751

Values from the calculation:
* ΔE_f: 0.01 eV/atom


[4]
Here is an optimized crystal structure of Sc2SiRh from the Alexandria database. Energies are from PBE.

a = 5.326 Å, b = 5.326 Å, c = 5.326 Å
α = 137.27°, β = 137.27°, γ = 62.02°
Fractional positions:
1 Sc 0.000 0.000 0.000
2 Sc 0.750 0.250 0.500
3 Si 0.250 0.750 0.500
4 Rh 0.500 0.500 0.000

Values from the calculation:
* formation energy without anion corrections: -269 kJ/mol of formula units


[5]
Here is an optimized crystal structure of La2Tb9Nd from the Alexandria database. Energies are from PBE.

a = 5.097 Å, b = 5.097 Å, c = 15.293 Å
α = 90.00°, β = 90.00°, γ = 90.00°
Fractional positions:
1 La 0.000 0.000 0.166
2 La 0.000 0.000 0.834
3 Tb 0.000 0.500 0.000
4 Tb 0.000 0.500 0.335
5 Tb 0.000 0.500 0.665
6 Tb 0.500 0.000 0.000
7 Tb 0.500 0.000 0.335
8 Tb 0.500 0.000 0.665
9 Tb 0.500 0.500 0.168
10 Tb 0.500 0.500 0.500
11 Tb 0.500 0.500 0.832
12 Nd 0.000 0.000 0.500

Values from the calculation:
* energy above the most stable polymorph in this dataset: 0 meV per atom
* ΔE_f: 0.02 eV/atom


[6]
Here is an optimized crystal structure of Cs2SnGe2 from the Alexandria database. Energies are from PBE.

a = 7.441 Å, b = 7.441 Å, c = 6.303 Å
α = 90.00°, β = 90.00°, γ = 90.00°
Fractional positions:
1 Cs 0.192 0.308 0.000
2 Cs 0.308 0.808 0.000
3 Cs 0.692 0.192 0.000
4 Cs 0.808 0.692 0.000
5 Sn 0.000 0.000 0.500
6 Sn 0.500 0.500 0.500
7 Ge 0.118 0.618 0.500
8 Ge 0.382 0.118 0.500
9 Ge 0.618 0.882 0.500
10 Ge 0.882 0.382 0.500

Values from the calculation:
* energy above the most stable polymorph in this dataset: 110 meV per atom
* ΔE_f: 0.00 eV/atom


[7]
Here is an optimized crystal structure of Li2Zr3Te6 from the Alexandria database. Energies are from PBE.

a = 6.942 Å, b = 6.942 Å, c = 7.606 Å
α = 98.76°, β = 98.76°, γ = 120.00°
Fractional positions:
1 Li 0.167 0.833 0.000
2 Li 0.833 0.167 0.000
3 Zr 0.000 0.000 0.500
4 Zr 0.333 0.667 0.500
5 Zr 0.667 0.333 0.500
6 Te 0.086 0.417 0.750
7 Te 0.253 0.253 0.251
8 Te 0.417 0.086 0.750
9 Te 0.583 0.914 0.250
10 Te 0.747 0.747 0.749
11 Te 0.914 0.583 0.250

Values from the calculation:
* formation energy without anion corrections: -977 kJ/mol of formula units


[8]
Here is an optimized crystal structure of LiTl2PtI from the Alexandria database. Energies are from PBE.

a = 5.390 Å, b = 5.390 Å, c = 5.093 Å
α = 90.00°, β = 90.00°, γ = 90.00°
Fractional positions:
1 Li 0.000 0.000 0.000
2 Tl 0.000 0.500 0.500
3 Tl 0.500 0.000 0.500
4 Pt 0.000 0.000 0.500
5 I 0.500 0.500 0.000

Values from the calculation:
* formation energy without anion corrections: -180 kJ/mol of formula units


[9]
Here is an optimized crystal structure of YCd from the Alexandria database. Energies are from PBE.

a = 5.825 Å, b = 6.599 Å, c = 11.001 Å
α = 90.00°, β = 90.00°, γ = 90.00°
Fractional positions:
1 Y 0.038 0.035 0.242
2 Y 0.235 0.370 0.506
3 Y 0.265 0.630 0.006
4 Y 0.462 0.965 0.742
5 Y 0.538 0.465 0.758
6 Y 0.735 0.130 0.494
7 Y 0.765 0.870 0.994
8 Y 0.962 0.535 0.258
9 Cd 0.008 0.706 0.738
10 Cd 0.223 0.863 0.491
11 Cd 0.277 0.137 0.991
12 Cd 0.492 0.294 0.238
13 Cd 0.508 0.794 0.262
14 Cd 0.723 0.637 0.509
15 Cd 0.777 0.363 0.009
16 Cd 0.992 0.206 0.762

Values from the calculation:
* ΔE_f: -0.19 eV/atom


[10]
Here is an optimized crystal structure of MgP2ICl from the Alexandria database. Energies are from PBE.

a = 5.106 Å, b = 5.106 Å, c = 4.694 Å
α = 90.00°, β = 90.00°, γ = 90.00°
Fractional positions:
1 Mg 0.000 0.000 0.000
2 P 0.000 0.500 0.000
3 P 0.500 0.000 0.000
4 I 0.500 0.500 0.500
5 Cl 0.000 0.000 0.500

Values from the calculation:
* energy above the most stable polymorph in this dataset: 0 meV per atom
* formation energy without anion corrections: 182 kJ/mol of formula units


[11]
Here is an optimized crystal structure of K3Sr2UO6 from the Alexandria database. Energies are from PBE.

a = 6.330 Å, b = 6.330 Å, c = 6.614 Å
α = 99.27°, β = 99.27°, γ = 119.98°
Fractional positions:
1 K 0.000 0.000 0.000
2 K 0.335 0.665 0.000
3 K 0.665 0.335 0.000
4 Sr 0.167 0.833 0.500
5 Sr 0.833 0.167 0.500
6 U 0.500 0.500 0.500
7 O 0.145 0.436 0.307
8 O 0.274 0.274 0.690
9 O 0.436 0.145 0.307
10 O 0.564 0.855 0.693
11 O 0.726 0.726 0.310
12 O 0.855 0.564 0.693

Values from the calculation:
* formation energy without anion corrections: -2928 kJ/mol of formula units


[12]
Here is an optimized crystal structure of Al6V2Cu from the Alexandria database. Energies are from PBE.

a = 7.647 Å, b = 7.647 Å, c = 2.852 Å
α = 90.14°, β = 90.14°, γ = 55.04°
Fractional positions:
1 Al 0.157 0.523 0.501
2 Al 0.187 0.813 0.000
3 Al 0.477 0.843 0.499
4 Al 0.523 0.157 0.501
5 Al 0.813 0.187 0.000
6 Al 0.843 0.477 0.499
7 V 0.186 0.186 0.000
8 V 0.814 0.814 0.000
9 Cu 0.500 0.500 0.500

Values from the calculation:
* ΔE_f: -0.08 eV/atom